(1)
Density functional theory data (PBE) for an optimized crystal structure of Tc5Ru3O12.

```
Tc5Ru3O12
1.0
-6.191 6.191 6.191
6.191 -6.191 6.191
6.191 6.191 -6.191
Tc Ru O
20 12 48
direct
0.000 0.000 0.000 Tc
0.000 0.000 0.500 Tc
0.000 0.500 0.000 Tc
0.000 0.500 0.500 Tc
0.125 0.750 0.875 Tc
0.125 0.875 0.250 Tc
0.250 0.125 0.875 Tc
0.250 0.625 0.375 Tc
0.375 0.250 0.625 Tc
0.375 0.625 0.750 Tc
0.500 0.000 0.000 Tc
0.500 0.000 0.500 Tc
0.500 0.500 0.000 Tc
0.500 0.500 0.500 Tc
0.625 0.375 0.250 Tc
0.625 0.750 0.375 Tc
0.750 0.375 0.625 Tc
0.750 0.875 0.125 Tc
0.875 0.125 0.750 Tc
0.875 0.250 0.125 Tc
0.125 0.250 0.375 Ru
0.125 0.375 0.750 Ru
0.250 0.375 0.125 Ru
0.250 0.875 0.625 Ru
0.375 0.125 0.250 Ru
0.375 0.750 0.125 Ru
0.625 0.250 0.875 Ru
0.625 0.875 0.750 Ru
0.750 0.125 0.375 Ru
0.750 0.625 0.875 Ru
0.875 0.625 0.250 Ru
0.875 0.750 0.625 Ru
0.036 0.214 0.111 O
0.036 0.322 0.925 O
0.075 0.611 0.397 O
0.075 0.964 0.678 O
0.103 0.714 0.678 O
0.103 0.889 0.425 O
0.111 0.036 0.214 O
0.111 0.575 0.897 O
0.178 0.214 0.603 O
0.178 0.464 0.575 O
0.214 0.111 0.036 O
0.214 0.603 0.178 O
0.286 0.322 0.897 O
0.286 0.464 0.389 O
0.322 0.897 0.286 O
0.322 0.925 0.036 O
0.389 0.286 0.464 O
0.389 0.603 0.925 O
0.397 0.075 0.611 O
0.397 0.822 0.786 O
0.425 0.103 0.889 O
0.425 0.822 0.536 O
0.464 0.389 0.286 O
0.464 0.575 0.178 O
0.536 0.425 0.822 O
0.536 0.611 0.714 O
0.575 0.178 0.464 O
0.575 0.897 0.111 O
0.603 0.178 0.214 O
0.603 0.925 0.389 O
0.611 0.397 0.075 O
0.611 0.714 0.536 O
0.678 0.075 0.964 O
0.678 0.103 0.714 O
0.714 0.536 0.611 O
0.714 0.678 0.103 O
0.786 0.397 0.822 O
0.786 0.889 0.964 O
0.822 0.536 0.425 O
0.822 0.786 0.397 O
0.889 0.425 0.103 O
0.889 0.964 0.786 O
0.897 0.111 0.575 O
0.897 0.286 0.322 O
0.925 0.036 0.322 O
0.925 0.389 0.603 O
0.964 0.678 0.075 O
0.964 0.786 0.889 O
```

Output
Raw formation energy   -0.486 eV/atom
Electronic total energy   -595.48 eV per cell
Magnetic moment   0.362 μB/atom

---

(2)
Density functional theory data (PBE) for an optimized crystal structure of Tc3RuO.

```
Tc3RuO
1.0
4.673 0.000 0.000
0.000 4.673 0.000
0.000 0.000 4.673
Tc Ru O
3 1 1
direct
0.000 0.000 0.500 Tc
0.000 0.500 0.000 Tc
0.500 0.000 0.000 Tc
0.000 0.000 0.000 Ru
0.500 0.500 0.500 O
```

Output
Raw formation energy   2.259 eV/atom
Electronic total energy   -34.03 eV per cell
Magnetic moment   1.052 μB/atom

---

(3)
Density functional theory data (PBE) for an optimized crystal structure of TcRuO4.

```
TcRuO4
1.0
5.578 0.000 0.000
0.000 4.798 0.000
-2.699 0.000 4.889
Tc Ru O
2 2 8
direct
0.000 0.000 0.000 Tc
0.000 0.500 0.500 Tc
0.500 0.000 0.500 Ru
0.500 0.500 0.000 Ru
0.140 0.214 0.349 O
0.140 0.286 0.849 O
0.349 0.708 0.639 O
0.349 0.792 0.139 O
0.651 0.208 0.861 O
0.651 0.292 0.361 O
0.860 0.714 0.151 O
0.860 0.786 0.651 O
```

Output
Raw formation energy   -1.161 eV/atom
Electronic total energy   -92.88 eV per cell
Magnetic moment   0.000 μB/atom

---

(4)
Density functional theory data (PBE) for an optimized crystal structure of TcRuO3.

```
TcRuO3
1.0
3.888 0.000 0.000
0.000 3.888 0.000
0.000 0.000 3.888
Tc Ru O
1 1 3
direct
0.000 0.000 0.000 Tc
0.500 0.500 0.500 Ru
0.000 0.500 0.500 O
0.500 0.000 0.500 O
0.500 0.500 0.000 O
```

Output
Raw formation energy   -0.073 eV/atom
Electronic total energy   -34.88 eV per cell
Magnetic moment   0.611 μB/atom